Entry 1:
This record from Alexandria via LeMat-Bulk describes NaSr4Li3 after structural relaxation. The functional is GGA-PBE.

Summary:
E above lowest polymorph: 7 meV per atom
E_tot: -1.6845 eV/atom
space-group type: Pmm2, No. 25

abc: 4.4142 5.4126 13.6019
angles: 90.00 90.00 90.00
With the nearest neighbours (Å) after each atom.
Fractional coordinates of all 8 atoms:
1 Sr 0.5000 0.0000 0.6457  7 Li 3.61-3.84
2 Sr 0.0000 0.5000 0.8372  5 Li 3.69-3.71, 2 Na 3.81
3 Sr 0.5000 0.5000 0.3591  6 Li 3.57-3.65, 1 Na 3.99
4 Sr 0.0000 0.0000 0.1625  3 Li 3.72-3.88, 4 Na 3.73
5 Li 0.0000 0.0000 0.4360  2 Li 3.23, 2 Sr 3.61
6 Li 0.5000 0.0000 0.9282  2 Na 3.29
7 Li 0.0000 0.5000 0.5658  2 Li 3.23, 2 Sr 3.57
8 Na 0.5000 0.5000 0.0656  2 Li 3.29

=====

Entry 2:
This record from Alexandria via LeMat-Bulk describes ScCdMo2 after structural relaxation. The functional is GGA-PBE.

Summary:
E_tot: -6.9278 eV/atom
space-group type: Cmmm, No. 65

abc: 2.7764 2.7764 9.4786
angles: 90.00 90.00 98.99
With the nearest neighbours (Å) after each atom.
Fractional coordinates of all 4 atoms:
1 Mo 0.0000 0.0000 0.5002  4 Mo 2.78, 2 Cd 2.98, 2 Sc 2.98
2 Mo 0.0000 0.0000 0.9998  4 Mo 2.78, 2 Cd 2.98, 2 Sc 2.98
3 Cd 0.5000 0.5000 0.7500  4 Cd 2.78, 4 Mo 2.98
4 Sc 0.5000 0.5000 0.2500  4 Sc 2.78, 4 Mo 2.98